Record 1
# RbNaGa2 | Alexandria | PBE | optimized geometry
data_RbNaGa2
_chemical_formula_sum 'Rb2 Na2 Ga4'
_cell_length_a 5.075
_cell_length_b 5.075
_cell_length_c 11.600
_cell_angle_alpha 77.36
_cell_angle_beta 77.36
_cell_angle_gamma 90.00
_space_group_name_H-M_alt 'P 1'
_space_group_IT_number 1
loop_
_space_group_symop_operation_xyz
'x,y,z'
loop_
_atom_site_label
_atom_site_type_symbol
_atom_site_fract_x
_atom_site_fract_y
_atom_site_fract_z
Na1 Na 0.500 0.500 0.000
Na2 Na 0.250 0.750 0.500
Ga1 Ga 0.442 0.125 0.250
Ga2 Ga 0.308 0.625 0.250
Ga3 Ga 0.375 0.558 0.750
Ga4 Ga 0.875 0.692 0.750
Rb1 Rb 0.000 0.000 0.000
Rb2 Rb 0.750 0.250 0.500
# distance to the lowest polymorph of the same formula	234	meV/atom
# SG	No. 122
# magnetization	0.00	μB per formula unit
# E_form	136	meV per atom
# E_tot	-1.949	eV per atom
# calculated volume	284.2	Å³/cell

Record 2
# Ac2ErBi3Rh4 | Alexandria | PBE | optimized geometry
data_Ac2ErBi3Rh4
_chemical_formula_sum 'Ac2 Er1 Bi3 Rh4'
_cell_length_a 4.643
_cell_length_b 4.643
_cell_length_c 11.471
_cell_angle_alpha 90.00
_cell_angle_beta 90.00
_cell_angle_gamma 90.00
_space_group_name_H-M_alt 'P 1'
_space_group_IT_number 1
loop_
_space_group_symop_operation_xyz
'x,y,z'
loop_
_atom_site_label
_atom_site_type_symbol
_atom_site_fract_x
_atom_site_fract_y
_atom_site_fract_z
Ac1 Ac 0.500 0.000 0.234
Ac2 Ac 0.000 0.500 0.766
Er1 Er 0.500 0.500 0.500
Bi1 Bi 0.000 0.000 0.500
Bi2 Bi 0.500 0.000 0.873
Bi3 Bi 0.000 0.500 0.127
Rh1 Rh 0.500 0.500 0.000
Rh2 Rh 0.000 0.000 0.000
Rh3 Rh 0.500 0.000 0.639
Rh4 Rh 0.000 0.500 0.361
# SG	No. 115
# magnetization	0.13	μB per formula unit
# E_form	-628	meV per atom
# E_tot	-6.011	eV per atom
# calculated volume	247.3	Å³/cell